## K2LiSeI (PBE)

Data for a geometry-optimized K2LiSeI structure.

Properties
N(E_F): 0.00 states/eV/f.u.
Density: 2.5 g cm⁻³
Formation energy without anion corrections: -1205 meV per atom

Cell: 6.358 6.358 4.752 Å, 90.00 90.00 90.00°
Atoms (fractional coordinates):
I (0.500, 0.500, 0.500)
K (0.000, 0.500, 0.000)
K (0.500, 0.000, 0.000)
Se (0.000, 0.000, 0.000)
Li (0.000, 0.000, 0.500)